# 1
An optimized crystal structure of SnTeHC2, computed with PBE.

a b c (Å): 4.144 6.194 4.144
angles (deg): 90.00 90.00 90.00
Fractional coordinates of all 5 atoms:
Sn1 0.000 0.500 0.000
C1 0.000 0.000 0.500
C2 0.500 0.000 0.000
H1 0.500 0.500 0.500
Te1 0.000 0.000 0.000

Output
SG = No. 123
Volume = 21.27 A^3/atom
Energy above the lowest structure with this stoichiometry = 689 meV/atom



# 2
An optimized crystal structure of Tb3TeHC, computed with PBE.

a b c (Å): 3.819 8.195 8.398
angles (deg): 104.87 90.00 90.00
Fractional coordinates of all 12 atoms:
Tb1 0.750 0.219 0.546
C1 0.250 0.667 0.155
H1 0.250 0.079 0.584
Te1 0.250 0.181 0.236
Tb2 0.250 0.138 0.862
Tb3 0.750 0.459 0.155
Tb4 0.750 0.862 0.138
C2 0.750 0.333 0.845
H2 0.750 0.921 0.416
Tb5 0.250 0.541 0.845
Te2 0.750 0.819 0.764
Tb6 0.250 0.781 0.454

Output
SG = No. 11
Volume = 21.17 A^3/atom
Total energy = -68.35 eV/cell



# 3
An optimized crystal structure of Tb6Te3HC2, computed with PBE.

a b c (Å): 3.898 8.311 9.118
angles (deg): 106.11 102.34 90.00
Fractional coordinates of all 12 atoms:
Tb1 0.332 0.865 0.665
C1 0.168 0.334 0.336
Tb2 0.975 0.755 0.949
Te1 0.500 0.500 0.000
Tb3 0.320 0.450 0.640
H1 0.500 0.000 0.000
C2 0.832 0.666 0.664
Tb4 0.025 0.245 0.051
Te2 0.159 0.835 0.318
Tb5 0.680 0.550 0.360
Tb6 0.668 0.135 0.335
Te3 0.841 0.165 0.682

Output
SG = No. 12
Volume = 23.06 A^3/atom
Total energy = -68.91 eV/cell



# 4
An optimized crystal structure of Th3TeHC, computed with PBE.

a b c (Å): 3.889 8.554 8.788
angles (deg): 106.21 90.00 90.00
Fractional coordinates of all 12 atoms:
C1 0.250 0.662 0.151
H1 0.750 0.932 0.415
Te1 0.750 0.816 0.762
Th1 0.250 0.133 0.862
C2 0.750 0.338 0.849
Th2 0.250 0.542 0.844
Th3 0.750 0.458 0.156
Th4 0.250 0.772 0.450
Te2 0.250 0.184 0.238
Th5 0.750 0.867 0.138
Th6 0.750 0.228 0.550
H2 0.250 0.068 0.585

Output
SG = No. 11
Volume = 23.40 A^3/atom
Total energy = -83.10 eV/cell



# 5
An optimized crystal structure of Tm3TeHC, computed with PBE.

a b c (Å): 3.739 7.994 8.224
angles (deg): 104.69 90.00 90.00
Fractional coordinates of all 12 atoms:
Te1 0.750 0.819 0.764
Tm1 0.250 0.778 0.453
H1 0.250 0.079 0.585
C1 0.250 0.666 0.154
Tm2 0.250 0.139 0.861
Tm3 0.750 0.861 0.139
C2 0.750 0.334 0.846
Tm4 0.250 0.540 0.846
Tm5 0.750 0.460 0.154
H2 0.750 0.921 0.415
Tm6 0.750 0.222 0.547
Te2 0.250 0.181 0.236

Output
SG = No. 11
Volume = 19.81 A^3/atom
Total energy = -67.38 eV/cell



# 6
An optimized crystal structure of Tm6Te3HC2, computed with PBE.

a b c (Å): 3.815 8.148 8.948
angles (deg): 105.84 102.31 90.00
Fractional coordinates of all 12 atoms:
H1 0.500 0.000 0.000
Tm1 0.331 0.862 0.662
Te1 0.500 0.500 0.000
C1 0.169 0.335 0.339
Tm2 0.973 0.758 0.946
Tm3 0.680 0.548 0.361
Te2 0.158 0.835 0.315
C2 0.831 0.665 0.661
Tm4 0.027 0.242 0.054
Tm5 0.320 0.452 0.639
Tm6 0.669 0.138 0.338
Te3 0.842 0.165 0.685

Output
SG = No. 12
Volume = 21.75 A^3/atom
Total energy = -67.71 eV/cell



# 7
An optimized crystal structure of YTe2HC, computed with PBE.

a b c (Å): 4.739 4.835 4.739
angles (deg): 90.00 90.00 90.00
Fractional coordinates of all 5 atoms:
Y1 0.000 0.500 0.000
H1 0.500 0.500 0.500
Te1 0.500 0.000 0.000
C1 0.000 0.000 0.000
Te2 0.000 0.000 0.500

Output
SG = No. 123
Volume = 21.72 A^3/atom
Total energy = -22.46 eV/cell



# 8
An optimized crystal structure of C23He4, computed with PBE.

a b c (Å): 6.765 6.765 6.765
angles (deg): 90.00 90.00 90.00
Fractional coordinates of all 54 atoms:
C1 0.685 0.685 0.315
C2 0.185 0.185 0.815
C3 0.380 0.500 0.195
He1 0.500 0.750 0.000
C4 0.685 0.315 0.315
C5 0.500 0.805 0.620
C6 0.685 0.315 0.685
C7 0.315 0.315 0.685
C8 0.815 0.185 0.815
He2 0.250 0.000 0.500
C9 0.315 0.685 0.685
C10 0.195 0.380 0.500
He3 0.000 0.500 0.250
C11 0.185 0.185 0.185
C12 0.000 0.250 0.500
C13 0.685 0.685 0.685
C14 0.500 0.000 0.250
C15 0.000 0.120 0.305
C16 0.815 0.815 0.815
C17 0.250 0.500 0.000
C18 0.695 0.000 0.120
He4 0.500 0.500 0.500
C19 0.000 0.120 0.695
He5 0.750 0.000 0.500
C20 0.880 0.695 0.000
C21 0.120 0.695 0.000
C22 0.000 0.750 0.500
C23 0.120 0.305 0.000
C24 0.620 0.500 0.195
C25 0.620 0.500 0.805
C26 0.500 0.000 0.750
He6 0.000 0.000 0.000
C27 0.380 0.500 0.805
C28 0.315 0.315 0.315
C29 0.815 0.185 0.185
C30 0.500 0.805 0.380
C31 0.805 0.620 0.500
C32 0.805 0.380 0.500
He7 0.500 0.250 0.000
C33 0.185 0.815 0.185
He8 0.000 0.500 0.750
C34 0.185 0.815 0.815
C35 0.750 0.500 0.000
C36 0.695 0.000 0.880
C37 0.315 0.685 0.315
C38 0.500 0.195 0.380
C39 0.195 0.620 0.500
C40 0.000 0.880 0.305
C41 0.880 0.305 0.000
C42 0.815 0.815 0.185
C43 0.500 0.195 0.620
C44 0.305 0.000 0.880
C45 0.000 0.880 0.695
C46 0.305 0.000 0.120

Output
SG = No. 223
Volume = 5.73 A^3/atom
Formation energy from the elements = 35.2 kJ/mol of atoms



# 9
An optimized crystal structure of Hf3C, computed with PBE.

a b c (Å): 5.335 5.335 5.335
angles (deg): 136.74 136.74 62.84
Fractional coordinates of all 4 atoms:
Hf1 0.750 0.250 0.500
Hf2 0.250 0.750 0.500
Hf3 0.500 0.500 0.000
C1 0.000 0.000 0.000

Output
SG = No. 139
Volume = 17.60 A^3/atom
Formation energy from the elements = 82.3 kJ/mol of atoms



# 10
An optimized crystal structure of Hf4C, computed with PBE.

a b c (Å): 4.562 4.562 4.562
angles (deg): 90.00 90.00 90.00
Fractional coordinates of all 5 atoms:
C1 0.500 0.500 0.500
Hf1 0.000 0.500 0.500
Hf2 0.500 0.500 0.000
Hf3 0.000 0.000 0.000
Hf4 0.500 0.000 0.500

Output
SG = No. 221
Volume = 18.99 A^3/atom
Formation energy from the elements = -24.5 kJ/mol of atoms



# 11
An optimized crystal structure of Hf2HgC, computed with PBE.

a b c (Å): 3.316 3.306 7.638
angles (deg): 102.92 90.00 120.10
Fractional coordinates of all 4 atoms:
C1 0.000 0.500 0.500
Hf1 0.725 0.949 0.667
Hf2 0.275 0.051 0.333
Hg1 0.500 0.500 0.000

Output
SG = No. 12
Volume = 17.50 A^3/atom
Formation energy from the elements = -61.5 kJ/mol of atoms



# 12
An optimized crystal structure of Hf2HgC, computed with PBE.

a b c (Å): 4.622 4.622 4.622
angles (deg): 60.00 60.00 60.00
Fractional coordinates of all 4 atoms:
Hf1 0.750 0.750 0.750
Hg1 0.500 0.500 0.500
C1 0.000 0.000 0.000
Hf2 0.250 0.250 0.250

Output
SG = No. 225
Volume = 17.46 A^3/atom
Formation energy from the elements = 78.7 kJ/mol of atoms



# 13
An optimized crystal structure of Hf4HgC2, computed with PBE.

a b c (Å): 3.298 3.298 12.831
angles (deg): 82.62 82.62 60.00
Fractional coordinates of all 7 atoms:
Hg1 0.000 0.000 0.000
Hf1 0.869 0.869 0.392
C1 0.430 0.430 0.710
Hf2 0.269 0.269 0.194
Hf3 0.731 0.731 0.806
C2 0.570 0.570 0.290
Hf4 0.131 0.131 0.608

Output
SG = No. 166
Volume = 17.07 A^3/atom
Formation energy from the elements = -62.0 kJ/mol of atoms



# 14
An optimized crystal structure of HfHgC, computed with PBE.

a b c (Å): 3.759 3.759 10.012
angles (deg): 79.18 79.18 60.00
Fractional coordinates of all 6 atoms:
Hf1 0.627 0.627 0.119
Hf2 0.373 0.373 0.881
Hg1 0.126 0.126 0.622
C1 0.701 0.701 0.896
C2 0.299 0.299 0.104
Hg2 0.874 0.874 0.378

Output
SG = No. 166
Volume = 19.94 A^3/atom
Formation energy from the elements = -12.9 kJ/mol of atoms



# 15
An optimized crystal structure of HfHg2C, computed with PBE.

a b c (Å): 8.172 8.172 6.219
angles (deg): 48.92 48.92 90.00
Fractional coordinates of all 8 atoms:
Hf1 0.000 0.000 0.000
Hf2 0.750 0.250 0.500
Hg1 0.875 0.782 0.750
Hg2 0.532 0.125 0.250
Hg3 0.218 0.625 0.250
C1 0.250 0.750 0.500
C2 0.500 0.500 0.000
Hg4 0.375 0.468 0.750

Output
SG = No. 122
Volume = 19.19 A^3/atom
Formation energy from the elements = 71.1 kJ/mol of atoms



# 16
An optimized crystal structure of Hf2HgC, computed with PBE.

a b c (Å): 3.302 3.302 7.681
angles (deg): 77.59 77.59 60.00
Fractional coordinates of all 4 atoms:
Hf1 0.055 0.055 0.835
Hg1 0.500 0.500 0.501
Hf2 0.278 0.278 0.167
C1 0.668 0.668 0.997

Output
SG = No. 160
Volume = 17.57 A^3/atom
Formation energy from the elements = -58.0 kJ/mol of atoms



# 17
An optimized crystal structure of HfHgC3, computed with PBE.

a b c (Å): 4.169 4.169 4.169
angles (deg): 90.00 90.00 90.00
Fractional coordinates of all 5 atoms:
Hf1 0.500 0.500 0.500
C1 0.000 0.000 0.500
C2 0.000 0.500 0.000
C3 0.500 0.000 0.000
Hg1 0.000 0.000 0.000

Output
SG = No. 221
Volume = 14.49 A^3/atom
Formation energy from the elements = 275.4 kJ/mol of atoms
Energy above the lowest structure with this stoichiometry = 754 meV/atom



# 18
An optimized crystal structure of Hf2HgC, computed with PBE.

a b c (Å): 6.623 6.623 5.823
angles (deg): 55.34 55.34 90.00
Fractional coordinates of all 8 atoms:
Hf1 0.210 0.625 0.250
Hg1 0.000 0.000 0.000
C1 0.500 0.500 0.000
C2 0.250 0.750 0.500
Hf2 0.875 0.790 0.750
Hf3 0.375 0.460 0.750
Hg2 0.750 0.250 0.500
Hf4 0.540 0.125 0.250

Output
SG = No. 122
Volume = 18.97 A^3/atom
Formation energy from the elements = -1.6 kJ/mol of atoms



# 19
An optimized crystal structure of Hf6Hg2C, computed with PBE.

a b c (Å): 6.335 6.335 8.814
angles (deg): 90.00 89.99 90.00
Fractional coordinates of all 18 atoms:
Hg1 0.500 0.000 0.750
Hg2 0.000 0.500 0.250
Hg3 0.500 0.000 0.250
Hf1 0.500 0.500 0.257
Hf2 0.250 0.750 0.500
Hf3 0.750 0.750 0.000
Hf4 0.000 0.000 0.757
Hf5 0.250 0.250 0.500
Hf6 0.000 0.000 0.243
C1 0.000 0.000 0.500
Hf7 0.250 0.750 0.000
C2 0.500 0.500 0.000
Hf8 0.250 0.250 0.000
Hf9 0.750 0.250 0.000
Hg4 0.000 0.500 0.750
Hf10 0.750 0.750 0.500
Hf11 0.750 0.250 0.500
Hf12 0.500 0.500 0.743

Output
SG = No. 139
Volume = 19.65 A^3/atom
Formation energy from the elements = -21.4 kJ/mol of atoms



# 20
An optimized crystal structure of Hf4HgC, computed with PBE.

a b c (Å): 5.196 6.758 8.202
angles (deg): 115.01 90.00 90.00
Fractional coordinates of all 12 atoms:
Hf1 0.752 0.690 0.886
Hf2 0.252 0.810 0.114
Hg1 0.500 0.000 0.500
Hf3 0.253 0.883 0.766
Hf4 0.248 0.310 0.114
Hf5 0.748 0.190 0.886
Hf6 0.747 0.117 0.234
Hg2 0.000 0.500 0.500
Hf7 0.753 0.617 0.234
C1 0.500 0.500 0.000
C2 0.000 0.000 0.000
Hf8 0.247 0.383 0.766

Output
SG = No. 14
Volume = 21.75 A^3/atom
Formation energy from the elements = -9.3 kJ/mol of atoms